# 1
Entry from Alexandria: a relaxed ErCu11Ni crystal (PBE).

Lattice parameters (Å, degrees): 4.813 6.451 6.461 81.61 68.13 66.94
Element x y z (fractional)
1 Cu 0.364 0.644 0.649
2 Cu 0.987 0.356 0.649
3 Cu 0.013 0.644 0.351
4 Cu 0.636 0.356 0.351
5 Cu 0.000 0.500 0.000
6 Cu 0.721 0.779 0.780
7 Cu 0.000 0.000 0.500
8 Cu 0.499 0.221 0.780
9 Cu 0.501 0.779 0.220
10 Cu 0.279 0.221 0.220
11 Cu 0.500 0.000 0.500
12 Ni 0.500 0.500 0.000
13 Er 0.000 0.000 0.000

- calculated formation energy (kJ/mol of formula units) = -120
- calculated volume (Å³ per atom) = 13.18
- SG = C2/m (12)

---

# 2
Entry from Alexandria: a relaxed Er4CuNi crystal (PBE).

Lattice parameters (Å, degrees): 7.610 7.610 7.610 104.42 104.42 120.14
Element x y z (fractional)
1 Er 0.746 0.463 0.717
2 Er 0.213 0.996 0.217
3 Er 0.779 0.996 0.783
4 Er 0.254 0.954 0.700
5 Er 0.746 0.029 0.283
6 Er 0.254 0.554 0.300
7 Er 0.704 0.504 0.200
8 Er 0.304 0.504 0.800
9 Ni 0.761 0.761 0.000
10 Ni 0.511 0.011 0.500
11 Cu 0.238 0.238 0.000
12 Cu 0.988 0.488 0.500

- calculated formation energy (kJ/mol of formula units) = -24
- calculated volume (Å³ per atom) = 27.53
- energy above the most stable polymorph in this dataset (eV per formula unit) = 0.98
- SG = I4_1md (109)

---

# 3
Entry from Alexandria: a relaxed Er5CuNi2 crystal (PBE).

Lattice parameters (Å, degrees): 7.489 7.489 8.306 116.80 116.80 90.00
Element x y z (fractional)
1 Er 0.523 0.697 0.721
2 Er 0.000 0.000 0.000
3 Er 0.197 0.023 0.721
4 Er 0.697 0.197 0.721
5 Er 0.803 0.977 0.279
6 Er 0.977 0.477 0.279
7 Er 0.023 0.523 0.721
8 Er 0.303 0.803 0.279
9 Er 0.477 0.303 0.279
10 Er 0.500 0.500 0.000
11 Cu 0.750 0.750 0.500
12 Cu 0.250 0.250 0.500
13 Ni 0.374 0.874 0.000
14 Ni 0.626 0.126 0.000
15 Ni 0.874 0.626 0.000
16 Ni 0.126 0.374 0.000

- calculated formation energy (kJ/mol of formula units) = -229
- calculated volume (Å³ per atom) = 22.43
- SG = I4/mcm (140)

---

# 4
Entry from Alexandria: a relaxed Er2CuNi crystal (PBE).

Lattice parameters (Å, degrees): 3.806 3.806 8.777 77.48 77.48 60.00
Element x y z (fractional)
1 Er 0.109 0.109 0.673
2 Er 0.891 0.891 0.327
3 Ni 0.500 0.500 0.500
4 Cu 0.000 0.000 0.000

- calculated formation energy (kJ/mol of formula units) = 102
- calculated volume (Å³ per atom) = 26.65
- SG = R-3m (166)

---

# 5
Entry from Alexandria: a relaxed Er8CuNi2 crystal (PBE).

Lattice parameters (Å, degrees): 4.944 6.586 8.899 105.12 106.13 90.00
Element x y z (fractional)
1 Er 0.964 0.216 0.928
2 Er 0.202 0.332 0.403
3 Er 0.672 0.983 0.345
4 Er 0.798 0.668 0.597
5 Er 0.593 0.461 0.185
6 Er 0.036 0.784 0.072
7 Er 0.328 0.017 0.655
8 Er 0.407 0.539 0.815
9 Ni 0.186 0.726 0.372
10 Ni 0.814 0.274 0.628
11 Cu 0.500 0.000 0.000

- calculated formation energy (kJ/mol of formula units) = -207
- calculated volume (Å³ per atom) = 24.36
- energy above the most stable polymorph in this dataset (eV per formula unit) = 0.00
- SG = C2/m (12)

---

# 6
Entry from Alexandria: a relaxed Er8Cu2Ni crystal (PBE).

Lattice parameters (Å, degrees): 5.020 6.582 8.877 105.37 106.43 90.00
Element x y z (fractional)
1 Er 0.968 0.212 0.936
2 Er 0.335 0.024 0.670
3 Er 0.201 0.325 0.403
4 Er 0.032 0.788 0.064
5 Er 0.665 0.976 0.330
6 Er 0.410 0.558 0.820
7 Er 0.799 0.675 0.597
8 Er 0.590 0.442 0.180
9 Cu 0.814 0.273 0.628
10 Cu 0.186 0.727 0.372
11 Ni 0.500 0.000 0.000

- calculated formation energy (kJ/mol of formula units) = -160
- calculated volume (Å³ per atom) = 24.58
- energy above the most stable polymorph in this dataset (eV per formula unit) = 0.00
- SG = C2/m (12)

---

# 7
Entry from Alexandria: a relaxed Er3CuNi3 crystal (PBE).

Lattice parameters (Å, degrees): 4.014 5.266 13.025 90.00 90.00 112.40
Element x y z (fractional)
1 Ni 0.914 0.829 0.592
2 Ni 0.086 0.171 0.408
3 Ni 0.774 0.549 0.750
4 Ni 0.226 0.451 0.250
5 Ni 0.914 0.829 0.908
6 Ni 0.086 0.171 0.092
7 Er 0.518 0.035 0.250
8 Er 0.201 0.402 0.603
9 Er 0.201 0.402 0.897
10 Er 0.799 0.598 0.103
11 Er 0.482 0.965 0.750
12 Er 0.799 0.598 0.397
13 Cu 0.500 0.000 0.000
14 Cu 0.500 0.000 0.500

- calculated formation energy (kJ/mol of formula units) = -301
- calculated volume (Å³ per atom) = 18.18
- energy above the most stable polymorph in this dataset (eV per formula unit) = 0.00
- SG = Cmcm (63)

---

# 8
Entry from Alexandria: a relaxed Er2CuNi2 crystal (PBE).

Lattice parameters (Å, degrees): 5.260 5.260 7.606 77.39 77.39 59.64
Element x y z (fractional)
1 Ni 0.001 0.730 0.002
2 Ni 0.730 0.001 0.502
3 Ni 0.270 0.999 0.498
4 Ni 0.999 0.270 0.998
5 Er 0.492 0.210 0.149
6 Er 0.508 0.790 0.851
7 Er 0.790 0.508 0.351
8 Er 0.210 0.492 0.649
9 Cu 0.157 0.843 0.250
10 Cu 0.843 0.157 0.750

- calculated formation energy (kJ/mol of formula units) = -201
- calculated volume (Å³ per atom) = 17.58
- SG = C2/c (15)

---

# 9
Entry from Alexandria: a relaxed ErCuNi4 crystal (PBE).

Lattice parameters (Å, degrees): 3.764 5.902 7.653 90.00 104.24 90.00
Element x y z (fractional)
1 Ni 0.664 0.943 0.328
2 Ni 0.500 0.500 0.000
3 Ni 0.927 0.250 0.854
4 Ni 0.073 0.750 0.146
5 Ni 0.336 0.443 0.672
6 Ni 0.664 0.557 0.328
7 Ni 0.500 0.000 0.000
8 Ni 0.336 0.057 0.672
9 Cu 0.765 0.250 0.531
10 Cu 0.235 0.750 0.469
11 Er 0.890 0.750 0.781
12 Er 0.110 0.250 0.219

- calculated formation energy (kJ/mol of formula units) = -76
- calculated volume (Å³ per atom) = 13.73
- energy above the most stable polymorph in this dataset (eV per formula unit) = 0.99
- SG = Cmcm (63)

---

# 10
Entry from Alexandria: a relaxed ErCu2Ni6 crystal (PBE).

Lattice parameters (Å, degrees): 2.755 7.217 7.217 56.52 79.00 79.00
Element x y z (fractional)
1 Ni 0.322 0.360 0.996
2 Ni 0.678 0.640 0.004
3 Ni 0.322 0.996 0.360
4 Ni 0.500 0.668 0.332
5 Ni 0.678 0.004 0.640
6 Ni 0.500 0.332 0.668
7 Cu 0.146 0.354 0.354
8 Cu 0.854 0.646 0.646
9 Er 0.000 0.000 0.000

- calculated formation energy (kJ/mol of formula units) = 92
- calculated volume (Å³ per atom) = 12.98
- SG = Immm (71)

---

# 11
Entry from Alexandria: a relaxed ErCuNi4 crystal (PBE).

Lattice parameters (Å, degrees): 4.841 4.841 4.841 60.00 60.00 60.00
Element x y z (fractional)
1 Ni 0.626 0.122 0.626
2 Ni 0.122 0.626 0.626
3 Ni 0.626 0.626 0.626
4 Ni 0.626 0.626 0.122
5 Cu 0.000 0.000 0.000
6 Er 0.250 0.250 0.250

- calculated formation energy (kJ/mol of formula units) = -171
- calculated volume (Å³ per atom) = 13.37
- energy above the most stable polymorph in this dataset (eV per formula unit) = 0.00
- SG = F-43m (216)

---

# 12
Entry from Alexandria: a relaxed Er8CuNi2 crystal (PBE).

Lattice parameters (Å, degrees): 5.781 7.450 7.450 113.34 99.36 99.36
Element x y z (fractional)
1 Er 0.581 0.343 0.081
2 Er 0.989 0.777 0.225
3 Er 0.581 0.081 0.343
4 Er 0.174 0.371 0.371
5 Er 0.383 0.664 0.927
6 Er 0.804 0.636 0.636
7 Er 0.383 0.927 0.664
8 Er 0.989 0.225 0.777
9 Cu 0.143 0.002 0.002
10 Ni 0.486 0.695 0.313
11 Ni 0.486 0.313 0.695

- calculated formation energy (kJ/mol of formula units) = -98
- calculated volume (Å³ per atom) = 25.58
- energy above the most stable polymorph in this dataset (eV per formula unit) = 1.12
- SG = Cm (8)

---

# 13
Entry from Alexandria: a relaxed ErCu2Ni3 crystal (PBE).

Lattice parameters (Å, degrees): 5.319 5.319 7.267 68.54 68.54 60.00
Element x y z (fractional)
1 Ni 0.248 0.720 0.313
2 Ni 0.752 0.280 0.687
3 Ni 0.720 0.248 0.313
4 Ni 0.280 0.280 0.687
5 Ni 0.720 0.720 0.313
6 Ni 0.280 0.752 0.687
7 Cu 0.000 0.500 0.000
8 Cu 0.500 0.500 0.000
9 Cu 0.500 0.000 0.000
10 Cu 0.000 0.000 0.000
11 Er 0.787 0.787 0.638
12 Er 0.213 0.213 0.362

- calculated formation energy (kJ/mol of formula units) = -88
- calculated volume (Å³ per atom) = 13.45
- SG = R-3m (166)

---

# 14
Entry from Alexandria: a relaxed Er3CuNi3 crystal (PBE).

Lattice parameters (Å, degrees): 4.258 8.489 8.489 120.00 90.00 90.00
Element x y z (fractional)
1 Ni 0.250 0.965 0.147
2 Ni 0.750 0.818 0.965
3 Ni 0.250 0.182 0.035
4 Ni 0.750 0.035 0.853
5 Ni 0.750 0.147 0.182
6 Ni 0.250 0.853 0.818
7 Er 0.250 0.317 0.403
8 Er 0.750 0.914 0.317
9 Er 0.250 0.086 0.683
10 Er 0.750 0.403 0.086
11 Er 0.750 0.683 0.597
12 Er 0.250 0.597 0.914
13 Cu 0.750 0.333 0.667
14 Cu 0.250 0.667 0.333

- calculated formation energy (kJ/mol of formula units) = -210
- calculated volume (Å³ per atom) = 18.98
- energy above the most stable polymorph in this dataset (eV per formula unit) = 0.94
- SG = P6_3/m (176)

---

# 15
Entry from Alexandria: a relaxed Er3Cu2Ni3 crystal (PBE).

Lattice parameters (Å, degrees): 5.329 7.095 14.823 90.00 90.00 90.00
Element x y z (fractional)
1 Ni 0.122 0.186 0.250
2 Ni 0.622 0.314 0.750
3 Ni 0.414 0.678 0.969
4 Ni 0.878 0.814 0.750
5 Ni 0.586 0.322 0.031
6 Ni 0.586 0.322 0.469
7 Ni 0.086 0.178 0.531
8 Ni 0.086 0.178 0.969
9 Ni 0.914 0.822 0.469
10 Ni 0.378 0.686 0.250
11 Ni 0.914 0.822 0.031
12 Ni 0.414 0.678 0.531
13 Cu 0.866 0.119 0.389
14 Cu 0.634 0.619 0.111
15 Cu 0.866 0.119 0.111
16 Cu 0.134 0.881 0.889
17 Cu 0.134 0.881 0.611
18 Cu 0.634 0.619 0.389
19 Cu 0.366 0.381 0.889
20 Cu 0.366 0.381 0.611
21 Er 0.136 0.469 0.103
22 Er 0.617 0.330 0.250
23 Er 0.117 0.170 0.750
24 Er 0.364 0.969 0.103
25 Er 0.136 0.469 0.397
26 Er 0.383 0.670 0.750
27 Er 0.883 0.830 0.250
28 Er 0.636 0.031 0.603
29 Er 0.636 0.031 0.897
30 Er 0.864 0.531 0.603
31 Er 0.864 0.531 0.897
32 Er 0.364 0.969 0.397

- calculated formation energy (kJ/mol of formula units) = -281
- calculated volume (Å³ per atom) = 17.51
- energy above the most stable polymorph in this dataset (eV per formula unit) = 0.15
- SG = Pnma (62)

---

# 16
Entry from Alexandria: a relaxed Er6Cu2Ni crystal (PBE).

Lattice parameters (Å, degrees): 8.201 8.201 8.201 109.36 110.16 108.90
Element x y z (fractional)
1 Ni 0.000 0.000 0.000
2 Ni 0.000 0.500 0.500
3 Cu 0.649 0.000 0.649
4 Cu 0.351 0.000 0.351
5 Cu 0.500 0.622 0.122
6 Cu 0.500 0.378 0.878
7 Er 0.432 0.257 0.175
8 Er 0.297 0.970 0.673
9 Er 0.817 0.741 0.558
10 Er 0.703 0.377 0.673
11 Er 0.568 0.743 0.825
12 Er 0.703 0.030 0.327
13 Er 0.183 0.741 0.925
14 Er 0.917 0.743 0.175
15 Er 0.083 0.257 0.825
16 Er 0.817 0.259 0.075
17 Er 0.183 0.259 0.442
18 Er 0.297 0.623 0.327

- calculated formation energy (kJ/mol of formula units) = -160
- calculated volume (Å³ per atom) = 23.58
- SG = Immm (71)

---

# 17
Entry from Alexandria: a relaxed Er3Cu2Ni3 crystal (PBE).

Lattice parameters (Å, degrees): 3.994 5.540 13.631 90.00 90.00 111.13
Element x y z (fractional)
1 Ni 0.397 0.794 0.540
2 Ni 0.347 0.694 0.250
3 Ni 0.653 0.306 0.750
4 Ni 0.603 0.206 0.040
5 Ni 0.397 0.794 0.960
6 Ni 0.603 0.206 0.460
7 Cu 0.213 0.426 0.405
8 Cu 0.787 0.574 0.905
9 Cu 0.213 0.426 0.095
10 Cu 0.787 0.574 0.595
11 Er 0.085 0.170 0.607
12 Er 0.915 0.830 0.107
13 Er 0.637 0.274 0.250
14 Er 0.915 0.830 0.393
15 Er 0.085 0.170 0.893
16 Er 0.363 0.726 0.750

- calculated formation energy (kJ/mol of formula units) = -295
- calculated volume (Å³ per atom) = 17.58
- energy above the most stable polymorph in this dataset (eV per formula unit) = 0.00
- SG = Cmcm (63)

---

# 18
Entry from Alexandria: a relaxed Er4Cu2Ni crystal (PBE).

Lattice parameters (Å, degrees): 4.798 4.798 8.300 73.20 73.20 60.00
Element x y z (fractional)
1 Er 0.626 0.626 0.123
2 Er 0.374 0.374 0.877
3 Er 0.876 0.876 0.371
4 Er 0.124 0.124 0.629
5 Cu 0.250 0.250 0.251
6 Cu 0.750 0.750 0.749
7 Ni 0.000 0.000 0.000

- calculated formation energy (kJ/mol of formula units) = -137
- calculated volume (Å³ per atom) = 22.29
- SG = R-3m (166)

---

# 19
Entry from Alexandria: a relaxed Er2CuNi3 crystal (PBE).

Lattice parameters (Å, degrees): 4.397 5.074 5.695 116.45 112.71 90.00
Element x y z (fractional)
1 Ni 0.625 0.625 0.249
2 Ni 0.375 0.375 0.751
3 Ni 0.000 0.000 0.000
4 Er 0.309 0.809 0.619
5 Er 0.691 0.191 0.381
6 Cu 0.000 0.500 0.000

- calculated formation energy (kJ/mol of formula units) = -62
- calculated volume (Å³ per atom) = 17.11
- energy above the most stable polymorph in this dataset (eV per formula unit) = 1.83
- SG = Immm (71)

---

# 20
Entry from Alexandria: a relaxed Er2Cu2Ni15 crystal (PBE).

Lattice parameters (Å, degrees): 6.250 6.250 6.250 83.03 83.03 83.03
Element x y z (fractional)
1 Cu 0.901 0.901 0.901
2 Cu 0.099 0.099 0.099
3 Ni 0.000 0.702 0.298
4 Ni 0.298 0.000 0.702
5 Ni 0.000 0.000 0.500
6 Ni 0.156 0.654 0.654
7 Ni 0.346 0.844 0.346
8 Ni 0.844 0.346 0.346
9 Ni 0.654 0.156 0.654
10 Ni 0.000 0.500 0.000
11 Ni 0.654 0.654 0.156
12 Ni 0.000 0.298 0.702
13 Ni 0.702 0.000 0.298
14 Ni 0.346 0.346 0.844
15 Ni 0.298 0.702 0.000
16 Ni 0.500 0.000 0.000
17 Ni 0.702 0.298 0.000
18 Er 0.342 0.342 0.342
19 Er 0.658 0.658 0.658

- calculated formation energy (kJ/mol of formula units) = -377
- calculated volume (Å³ per atom) = 12.59
- SG = R-3m (166)